The following is a GGA-PBE calculation of a relaxed structure of Ce3GaCo, from the Alexandria database.

```
Ce3GaCo
1.0
6.319 0.000 0.000
0.000 8.310 0.407
0.000 -2.274 8.280
Ga Ce Co
4 12 4
direct
0.681 0.066 0.927 Ga
0.819 0.566 0.427 Ga
0.319 0.934 0.073 Ga
0.181 0.434 0.573 Ga
0.208 0.521 0.958 Ce
0.533 0.259 0.313 Ce
0.292 0.021 0.458 Ce
0.188 0.135 0.789 Ce
0.688 0.365 0.711 Ce
0.033 0.241 0.187 Ce
0.708 0.979 0.542 Ce
0.967 0.759 0.813 Ce
0.312 0.635 0.289 Ce
0.467 0.741 0.687 Ce
0.812 0.865 0.211 Ce
0.792 0.479 0.042 Ce
0.922 0.222 0.446 Co
0.578 0.722 0.946 Co
0.422 0.278 0.054 Co
0.078 0.778 0.554 Co
```

Summary:
E_tot = -117.0 eV per cell
D(E_F) = 2.138 states/eV/atom
relative energy among the computed polymorphs = 0 meV/atom
formation energy from the elements = -262 meV/atom

The following is a GGA-PBE calculation of a relaxed structure of Ce2Ga3Co, from the Alexandria database.

```
Ce2Ga3Co
1.0
3.647 0.000 0.000
0.000 4.392 0.000
0.000 0.000 7.586
Ga Ce Co
3 2 1
direct
0.500 0.500 0.657 Ga
0.500 0.000 0.172 Ga
0.500 0.000 0.833 Ga
0.000 0.500 0.029 Ce
0.000 0.000 0.482 Ce
0.500 0.500 0.327 Co
```

Summary:
E_tot = -31.1 eV per cell
D(E_F) = 1.228 states/eV/atom
formation energy from the elements = -509 meV/atom

The following is a GGA-PBE calculation of a relaxed structure of Ce6Ga2Co, from the Alexandria database.

```
Ce6Ga2Co
1.0
-3.353 -4.898 -3.033
5.720 -3.251 -1.073
-1.023 -4.655 8.644
Ce Ga Co
12 4 2
direct
0.785 0.781 0.000 Ce
0.500 0.500 0.756 Ce
0.719 0.715 0.500 Ce
0.000 0.000 0.256 Ce
0.781 0.215 0.000 Ce
0.215 0.219 0.000 Ce
0.285 0.719 0.500 Ce
0.715 0.281 0.500 Ce
0.000 0.000 0.744 Ce
0.281 0.285 0.500 Ce
0.219 0.785 0.000 Ce
0.500 0.500 0.244 Ce
0.500 0.000 0.750 Ga
0.500 0.000 0.250 Ga
0.000 0.500 0.250 Ga
0.000 0.500 0.750 Ga
0.000 0.000 0.500 Co
0.500 0.500 0.000 Co
```

Summary:
E_tot = -101.7 eV per cell
D(E_F) = 2.390 states/eV/atom
formation energy from the elements = -234 meV/atom

The following is a GGA-PBE calculation of a relaxed structure of Ce12GaCo7, from the Alexandria database.

```
Ce12GaCo7
1.0
8.255 -0.355 -0.533
-2.637 7.831 -0.533
-2.637 -3.508 7.021
Co Ce Ga
7 12 1
direct
0.966 0.089 0.728 Co
0.272 0.034 0.911 Co
0.034 0.911 0.272 Co
0.089 0.728 0.966 Co
0.911 0.272 0.034 Co
0.500 0.500 0.500 Co
0.728 0.966 0.089 Co
0.700 0.834 0.332 Ce
0.332 0.700 0.834 Ce
0.890 0.688 0.570 Ce
0.834 0.332 0.700 Ce
0.570 0.890 0.688 Ce
0.300 0.166 0.668 Ce
0.668 0.300 0.166 Ce
0.430 0.110 0.312 Ce
0.312 0.430 0.110 Ce
0.166 0.668 0.300 Ce
0.688 0.570 0.890 Ce
0.110 0.312 0.430 Ce
0.000 0.000 0.000 Ga
```

Summary:
E_tot = -127.1 eV per cell
D(E_F) = 1.897 states/eV/atom
formation energy from the elements = -158 meV/atom